(1)
This record from Alexandria describes a geometry-optimized SrTcSb structure. The functional is PBE.

The density of states at the Fermi level is 9.74 states/eV per cell. The total energy is -60.9 eV for the cell shown. As for the theoretical density: 6.61 g/cm3. The raw formation energy comes out at 0.317 eV per atom. For the energy above the most stable polymorph in this dataset, the calculation gives 373 meV/atom.

The structure belongs to space group F-43m (No. 216); the cell edges are 6.7604, 6.7604 and 6.7604 Å and the angles 90.00°, 90.00° and 90.00°. The distinct sites, in fractional coordinates, are Sr at (0.0000, 0.0000, 0.0000), Tc at (0.2500, 0.2500, 0.7500) and Sb at (0.0000, 0.0000, 0.5000).

---

(2)
This record from Alexandria describes a geometry-optimized SrTcSb structure. The functional is PBE.

The density of states at the Fermi level is 26.35 states/eV per cell. The total energy is -50.6 eV for the cell shown. As for the theoretical density: 5.14 g/cm3. The raw formation energy comes out at 1.172 eV per atom. For the energy above the most stable polymorph in this dataset, the calculation gives 1228 meV/atom.

The structure belongs to space group F-43m (No. 216); the cell edges are 7.3489, 7.3489 and 7.3489 Å and the angles 90.00°, 90.00° and 90.00°. The distinct sites, in fractional coordinates, are Sr at (0.0000, 0.0000, 0.0000), Tc at (0.2500, 0.2500, 0.2500) and Sb at (0.2500, 0.2500, 0.7500).

---

(3)
This record from Alexandria describes a geometry-optimized SrTc2Sb structure. The functional is PBE.

The density of states at the Fermi level is 7.48 states/eV per cell. The total energy is -46.5 eV for the cell shown. As for the theoretical density: 8.11 g/cm3. The raw formation energy comes out at 0.824 eV per atom.

The structure belongs to space group Cmmm (No. 65); the cell edges are 3.5054, 5.2417 and 9.0301 Å and the angles 90.00°, 90.00° and 90.00°. The distinct sites, in fractional coordinates, are Sr at (0.0000, 0.0000, 0.0000), Tc at (0.0000, 0.5000, 0.2834) and Sb at (0.0000, 0.0000, 0.5000).

---

(4)
This record from Alexandria describes a geometry-optimized SrTc4Sb12 structure. The functional is PBE.

The density of states at the Fermi level is 35.34 states/eV per cell. The total energy is -188.4 eV for the cell shown. As for the theoretical density: 7.47 g/cm3. The raw formation energy comes out at -0.092 eV per atom.

The structure belongs to space group Im-3 (No. 204); the cell edges are 9.5202, 9.5202 and 9.5202 Å and the angles 90.00°, 90.00° and 90.00°. The distinct sites, in fractional coordinates, are Sr at (0.0000, 0.0000, 0.0000), Tc at (0.2500, 0.2500, 0.2500) and Sb at (0.0000, 0.3408, 0.1598).

---

(5)
This record from Alexandria describes a geometry-optimized SrTcSb structure. The functional is PBE.

The density of states at the Fermi level is 2.75 states/eV per cell. The total energy is -16.1 eV for the cell shown. As for the theoretical density: 6.12 g/cm3. The raw formation energy comes out at 0.017 eV per atom. For the energy above the most stable polymorph in this dataset, the calculation gives 73 meV/atom.

The structure belongs to space group P-6m2 (No. 187); the cell edges are 4.5351, 4.5351 and 4.6787 Å and the angles 90.00°, 90.00° and 120.00°. The distinct sites, in fractional coordinates, are Sr at (0.0000, 0.0000, 0.0000), Tc at (0.6667, 0.3333, 0.5000) and Sb at (0.3333, 0.6667, 0.5000).

---

(6)
This record from Alexandria describes a geometry-optimized SrTc2Sb structure. The functional is PBE.

The density of states at the Fermi level is 18.15 states/eV per cell. The total energy is -95.8 eV for the cell shown. As for the theoretical density: 8.27 g/cm3. The raw formation energy comes out at 0.647 eV per atom.

The structure belongs to space group F-43m (No. 216); the cell edges are 6.8785, 6.8785 and 6.8785 Å and the angles 90.00°, 90.00° and 90.00°. The distinct sites, in fractional coordinates, are Sr at (0.0000, 0.0000, 0.0000), Tc at (0.0000, 0.0000, 0.5000), Tc at (0.2500, 0.2500, 0.7500) and Sb at (0.2500, 0.2500, 0.2500).

---

(7)
This record from Alexandria describes a geometry-optimized SrTc2Sb structure. The functional is PBE.

The density of states at the Fermi level is 10.43 states/eV per cell. The total energy is -70.8 eV for the cell shown. As for the theoretical density: 8.07 g/cm3. The raw formation energy comes out at 0.737 eV per atom.

The structure belongs to space group R-3m (No. 166, hexagonal axes); the cell edges are 3.2862, 3.2862 and 26.7680 Å and the angles 90.00°, 90.00° and 120.00°. The distinct sites, in fractional coordinates, are Sr at (0.0000, 0.0000, 0.0000), Tc at (0.0000, 0.0000, 0.2379) and Sb at (0.0000, 0.0000, 0.5000).

---

(8)
This record from Alexandria describes a geometry-optimized SrTc2Sb structure. The functional is PBE.

The density of states at the Fermi level is 4.53 states/eV per cell. The total energy is -25.8 eV for the cell shown. As for the theoretical density: 7.89 g/cm3. The raw formation energy comes out at 0.175 eV per atom.

The structure belongs to space group P4mm (No. 99); the cell edges are 3.2051, 3.2051 and 8.3051 Å and the angles 90.00°, 90.00° and 90.00°. The distinct sites, in fractional coordinates, are Sr at (0.0000, 0.0000, 0.0000), Tc at (0.0000, 0.0000, 0.4424), Tc at (0.5000, 0.5000, 0.2806) and Sb at (0.5000, 0.5000, 0.6589).

---

(9)
This record from Alexandria describes a geometry-optimized SrTc2Sb structure. The functional is PBE.

The density of states at the Fermi level is 22.83 states/eV per cell. The total energy is -98.4 eV for the cell shown. As for the theoretical density: 6.27 g/cm3. The raw formation energy comes out at 0.487 eV per atom.

The structure belongs to space group I-42d (No. 122); the cell edges are 4.7395, 4.7395 and 19.1110 Å and the angles 90.00°, 90.00° and 90.00°. The distinct sites, in fractional coordinates, are Sr at (0.0000, 0.0000, 0.0000), Tc at (0.0497, 0.2500, 0.6250) and Sb at (0.0000, 0.0000, 0.5000).

---

(10)
This record from Alexandria describes a geometry-optimized SrTc2Sb structure. The functional is PBE.

The density of states at the Fermi level is 6.11 states/eV per cell. The total energy is -23.8 eV for the cell shown. As for the theoretical density: 8.58 g/cm3. The raw formation energy comes out at 0.693 eV per atom.

The structure belongs to space group P4/mmm (No. 123); the cell edges are 4.6771, 4.6771 and 3.5871 Å and the angles 90.00°, 90.00° and 90.00°. The distinct sites, in fractional coordinates, are Sr at (0.0000, 0.0000, 0.0000), Tc at (0.0000, 0.5000, 0.5000) and Sb at (0.5000, 0.5000, 0.0000).

---

(11)
This record from Alexandria describes a geometry-optimized SrTc2Sb structure. The functional is PBE.

The density of states at the Fermi level is 7.80 states/eV per cell. The total energy is -49.3 eV for the cell shown. As for the theoretical density: 7.59 g/cm3. The raw formation energy comes out at 0.467 eV per atom.

The structure belongs to space group Imm2 (No. 44); the cell edges are 3.2593, 5.3139 and 10.2353 Å and the angles 90.00°, 90.00° and 90.00°. The distinct sites, in fractional coordinates, are Sr at (0.0000, 0.0000, 0.0000), Tc at (0.0000, 0.0000, 0.5268), Tc at (0.0000, 0.5000, 0.2021) and Sb at (0.0000, 0.5000, 0.7890).

---

(12)
This record from Alexandria describes a geometry-optimized SrTc2Sb structure. The functional is PBE.

The density of states at the Fermi level is 4.03 states/eV per cell. The total energy is -24.3 eV for the cell shown. As for the theoretical density: 7.42 g/cm3. The raw formation energy comes out at 0.567 eV per atom.

The structure belongs to space group Pmmm (No. 47); the cell edges are 3.0846, 5.1696 and 5.6860 Å and the angles 90.00°, 90.00° and 90.00°. The distinct sites, in fractional coordinates, are Sr at (0.0000, 0.0000, 0.0000), Tc at (0.5000, 0.5000, 0.3045) and Sb at (0.5000, 0.0000, 0.5000).